# La3ZnGe6Pt2 PBE-GGA relaxed
data_La3ZnGe6Pt2
_chemical_formula_sum 'La3 Zn1 Ge6 Pt2'
_cell_length_a 6.079
_cell_length_b 6.079
_cell_length_c 8.378
_cell_angle_alpha 90.00
_cell_angle_beta 90.00
_cell_angle_gamma 120.00
_space_group_name_H-M_alt 'P 1'
_space_group_IT_number 1
_space_group_name_Hall 'P 1'
loop_
_atom_site_label
_atom_site_fract_x
_atom_site_fract_y
_atom_site_fract_z
La1 0.000 0.000 0.000
La2 0.333 0.667 0.641
La3 0.667 0.333 0.359
Zn1 0.000 0.000 0.500
Ge1 0.191 0.382 0.284
Ge2 0.191 0.809 0.284
Ge3 0.382 0.191 0.716
Ge4 0.618 0.809 0.284
Ge5 0.809 0.191 0.716
Ge6 0.809 0.618 0.716
Pt1 0.333 0.667 0.027
Pt2 0.667 0.333 0.973
# * VASP energy: -61.1 eV/f.u.
# * calculated volume: 268 Å³/cell
# * symmetry: P-3m1

---

# Cr5InS8 PBE-GGA relaxed
data_Cr5InS8
_chemical_formula_sum 'Cr5 In1 S8'
_cell_length_a 9.211
_cell_length_b 9.211
_cell_length_c 8.680
_cell_angle_alpha 105.40
_cell_angle_beta 105.40
_cell_angle_gamma 21.76
_space_group_name_H-M_alt 'P 1'
_space_group_IT_number 1
_space_group_name_Hall 'P 1'
loop_
_atom_site_label
_atom_site_fract_x
_atom_site_fract_y
_atom_site_fract_z
Cr1 0.000 0.000 0.000
Cr2 0.046 0.046 0.363
Cr3 0.341 0.341 0.028
Cr4 0.638 0.638 0.696
Cr5 0.685 0.685 0.060
In1 0.860 0.860 0.525
S1 0.105 0.105 0.876
S2 0.170 0.170 0.543
S3 0.259 0.259 0.205
S4 0.426 0.426 0.854
S5 0.513 0.513 0.516
S6 0.580 0.580 0.186
S7 0.764 0.764 0.882
S8 0.919 0.919 0.176
# * VASP energy: -93.1 eV/f.u.
# * calculated volume: 263 Å³/cell
# * energy relative to the elements, uncorrected: -661 meV/atom
# * symmetry: Cm

---

# Ce2Th4In3 PBE-GGA relaxed
data_Ce2Th4In3
_chemical_formula_sum 'Ce4 Th8 In6'
_cell_length_a 6.661
_cell_length_b 8.884
_cell_length_c 9.026
_cell_angle_alpha 99.09
_cell_angle_beta 96.38
_cell_angle_gamma 96.02
_space_group_name_H-M_alt 'P 1'
_space_group_IT_number 1
_space_group_name_Hall 'P 1'
loop_
_atom_site_label
_atom_site_fract_x
_atom_site_fract_y
_atom_site_fract_z
Ce1 0.028 0.130 0.274
Ce2 0.245 0.461 0.492
Ce3 0.755 0.539 0.508
Ce4 0.972 0.870 0.726
Th1 0.090 0.534 0.834
Th2 0.312 0.872 0.064
Th3 0.348 0.130 0.602
Th4 0.421 0.531 0.175
Th5 0.579 0.469 0.825
Th6 0.652 0.870 0.398
Th7 0.688 0.128 0.936
Th8 0.910 0.466 0.166
In1 0.137 0.791 0.386
In2 0.199 0.206 0.951
In3 0.458 0.793 0.712
In4 0.542 0.207 0.288
In5 0.801 0.794 0.049
In6 0.863 0.209 0.614
# * VASP energy: -51.3 eV/f.u.
# * calculated volume: 520 Å³/cell
# * symmetry: P-1

---

Q: calculated volume of number 2 (Cr5InS8)?
A: 263 Å³/cell

---

Q: Look up the calculated volume of the first one.
A: 268 Å³/cell

---

Q: VASP energy of number 1 (La3ZnGe6Pt2)?
A: -61.1 eV/f.u.

---

Q: Look up the calculated volume of the first one.
A: 268 Å³/cell